[1]
A relaxed ZnSnP2O crystal. Source: the Alexandria database, functional PBE.

```
ZnSnP2O
1.0
4.860 0.000 0.000
0.000 4.860 0.000
0.000 0.000 3.722
P Zn Sn O
2 1 1 1
Cartesian
0.000 2.430 0.000 P
2.430 0.000 0.000 P
0.000 0.000 0.000 Zn
2.430 2.430 1.861 Sn
0.000 0.000 1.861 O
```

## Properties
Formation energy (no corrections) (kJ per mole of atoms): 33
Space group: P4/mmm, No. 123

[2]
A relaxed YAgGe2 crystal. Source: the Alexandria database, functional PBE.

```
YAgGe2
1.0
-3.459 1.642 3.049
-3.335 3.212 -1.585
-4.652 -1.397 -0.597
Y Ge Ag
1 2 1
Cartesian
0.000 0.000 0.000 Y
-2.862 0.864 0.217 Ge
-8.585 2.593 0.650 Ge
-5.723 1.728 0.433 Ag
```

## Properties
DFT formation energy (eV per atom): -0.214
Space group: Fm-3m, No. 225

[3]
A relaxed ZrSiClF2 crystal. Source: the Alexandria database, functional PBE.

```
ZrSiClF2
1.0
3.820 0.000 0.000
0.000 5.788 0.000
0.000 0.000 3.820
Si F Zr Cl
1 2 1 1
Cartesian
0.000 0.000 0.000 Si
0.000 0.000 1.910 F
1.910 0.000 0.000 F
0.000 2.894 0.000 Zr
1.910 2.894 1.910 Cl
```

## Properties
Formation energy (no corrections) (kJ per mole of atoms): -125
Space group: P4/mmm, No. 123

[4]
A relaxed Ce3TcPb crystal. Source: the Alexandria database, functional PBE.

```
Ce3TcPb
1.0
5.298 0.000 0.000
0.000 5.298 0.000
0.000 0.000 5.298
Pb Tc Ce
1 1 3
Cartesian
2.649 2.649 2.649 Pb
0.000 0.000 0.000 Tc
0.000 2.649 0.000 Ce
0.000 0.000 2.649 Ce
2.649 0.000 0.000 Ce
```

## Properties
DFT formation energy (eV per atom): -0.180
Space group: Pm-3m, No. 221

[5]
A relaxed DyReC2 crystal. Source: the Alexandria database, functional PBE.

```
DyReC2
1.0
-2.163 2.175 0.997
-0.941 0.041 3.085
3.015 4.221 2.549
Re C Dy
1 2 1
Cartesian
0.000 0.000 0.000 Re
-0.179 1.474 1.612 C
0.091 4.962 5.020 C
-0.044 3.218 3.316 Dy
```

## Properties
DFT formation energy (eV per atom): 0.035
Space group: R-3m, No. 166

[6]
A relaxed EuSc2In crystal. Source: the Alexandria database, functional PBE.

```
EuSc2In
1.0
-0.733 5.121 -0.851
-4.862 1.925 -0.375
-1.916 3.044 3.815
Eu Sc In
1 2 1
Cartesian
0.000 0.000 0.000 Eu
-1.878 2.522 0.647 Sc
-5.633 7.567 1.942 Sc
-3.756 5.045 1.294 In
```

## Properties
DFT formation energy (eV per atom): -0.088
Space group: Fm-3m, No. 225

[7]
A relaxed Zr3Mo5H12 crystal. Source: the Alexandria database, functional PBE.

```
Zr3Mo5H12
1.0
-8.645 -3.174 3.268
5.963 -7.620 -1.367
3.932 6.077 6.564
Zr Mo H
12 20 48
Cartesian
-3.756 -4.478 2.759 Zr
-2.600 -7.733 2.655 Zr
3.688 -3.107 4.303 Zr
0.059 0.533 3.108 Zr
-5.836 -2.211 4.330 Zr
1.468 -4.433 2.013 Zr
-0.217 -0.283 6.454 Zr
7.087 -2.506 4.136 Zr
1.192 -5.250 5.358 Zr
-2.437 -1.610 4.163 Zr
3.851 3.016 5.811 Zr
5.007 -0.238 5.707 Zr
2.139 -1.735 1.537 Mo
2.982 -3.810 -0.683 Mo
0.000 0.000 0.000 Mo
-1.259 -2.336 1.705 Mo
-2.356 1.452 4.916 Mo
-1.341 -5.397 0.951 Mo
4.866 -3.833 1.845 Mo
-2.297 1.985 8.024 Mo
-1.282 -4.864 4.059 Mo
0.453 2.415 5.978 Mo
0.798 -7.132 2.488 Mo
0.625 -2.358 4.233 Mo
-4.322 -1.587 1.634 Mo
1.966 3.039 3.282 Mo
2.533 0.147 4.407 Mo
3.548 -6.701 0.442 Mo
4.948 -0.771 2.599 Mo
-3.616 -0.884 6.621 Mo
2.510 -2.381 6.762 Mo
-0.888 -2.982 6.929 Mo
-5.193 -2.978 2.503 H
2.039 -2.730 3.088 H
-4.896 -4.077 4.456 H
-2.955 -2.592 2.387 H
1.848 -3.274 5.288 H
-4.078 -6.440 3.383 H
3.410 -4.498 2.764 H
5.289 -6.433 -0.108 H
3.237 -5.029 4.968 H
-2.073 -5.717 2.626 H
-2.660 -3.673 4.352 H
-1.540 -9.332 1.818 H
5.289 -2.531 3.083 H
-0.344 -3.846 1.170 H
6.199 -5.036 1.420 H
-0.520 1.191 4.998 H
1.117 -0.200 1.470 H
0.413 -5.989 1.091 H
-0.640 -7.918 3.336 H
1.651 -3.107 0.403 H
5.566 -3.624 5.043 H
0.392 -4.141 3.772 H
-0.786 -5.925 5.485 H
-1.164 0.531 8.121 H
0.859 -0.575 4.694 H
2.037 1.208 2.981 H
2.415 -5.248 0.345 H
1.891 3.202 5.130 H
-4.315 -1.092 3.424 H
-0.400 -1.610 8.063 H
0.838 1.273 7.375 H
1.771 -5.908 3.468 H
0.134 -4.517 6.997 H
-4.948 0.320 7.047 H
-4.038 -2.186 5.383 H
2.791 4.616 6.648 H
1.595 -0.871 7.297 H
-1.986 0.312 3.498 H
3.324 1.001 5.840 H
3.911 -1.044 4.115 H
-4.038 1.716 8.574 H
-2.160 -0.219 5.703 H
4.206 -2.125 6.079 H
5.329 1.723 5.083 H
-0.597 -1.443 3.178 H
6.147 -0.639 4.010 H
-0.788 -1.987 5.378 H
6.444 -1.739 5.963 H
```

## Properties
Space group: Ia-3d, No. 230
E_tot (eV per atom): -6.150

[8]
A relaxed CoRe2Te crystal. Source: the Alexandria database, functional PBE.

```
CoRe2Te
1.0
-4.601 0.831 0.858
-1.625 -3.610 2.632
3.803 2.788 0.600
Co Re Te
1 2 1
Cartesian
-1.956 1.115 1.601 Co
0.000 0.000 0.000 Re
-0.468 -1.105 2.488 Re
-3.113 -1.389 1.745 Te
```

## Properties
Formation energy (no corrections) (kJ per mole of atoms): 63
Space group: I-4m2, No. 119

[9]
A relaxed BaPb2IF5 crystal. Source: the Alexandria database, functional PBE.

```
BaPb2IF5
1.0
-3.750 -1.771 4.496
-3.544 -2.861 -4.083
5.480 -8.521 1.214
Ba F I Pb
2 10 2 4
Cartesian
-3.698 -2.044 2.351 Ba
-3.595 -2.588 -1.938 Ba
-1.628 -1.462 0.147 F
-0.185 -11.691 1.480 F
2.723 -8.408 -0.923 F
2.626 -7.894 3.122 F
4.394 -7.059 1.002 F
0.955 -9.243 1.197 F
-6.207 -6.094 0.625 F
-2.768 -3.910 0.430 F
-4.536 -4.745 2.550 F
-4.439 -5.259 -1.495 F
-0.958 -6.304 2.958 I
-0.855 -6.849 -1.331 I
-0.383 -3.398 0.422 Pb
-1.430 -9.756 1.205 Pb
1.982 -7.074 0.946 Pb
-3.795 -6.079 0.681 Pb
```

## Properties
Formation energy (no corrections) (kJ per mole of atoms): -251
Space group: P4/nmm, No. 129

[10]
A relaxed ZrTiCo2 crystal. Source: the Alexandria database, functional PBE.

```
ZrTiCo2
1.0
3.148 0.000 0.000
0.000 4.336 0.000
0.000 0.000 4.336
Co Zr Ti
2 1 1
Cartesian
0.000 0.000 2.168 Co
0.000 2.168 0.000 Co
1.574 0.000 0.000 Zr
1.574 2.168 2.168 Ti
```

## Properties
DFT formation energy (eV per atom): -0.287
Space group: P4/mmm, No. 123

[11]
A relaxed Tb7Ho2 crystal. Source: the Alexandria database, functional PBE.

```
Tb7Ho2
1.0
-6.001 -0.315 1.254
2.784 -4.656 -2.874
1.792 -3.658 7.659
Tb Ho
7 2
Cartesian
0.000 0.000 0.000 Tb
-3.404 -1.426 3.383 Tb
2.451 -4.320 0.632 Tb
-0.477 -2.874 2.007 Tb
2.124 -3.994 4.153 Tb
-0.806 -2.546 5.530 Tb
-0.949 -5.754 4.032 Tb
-0.145 -3.209 -1.498 Ho
-3.073 -1.762 -0.122 Ho
```

## Properties
DFT formation energy (eV per atom): 0.018
Space group: P-31m, No. 162

[12]
A relaxed UNiAsRh crystal. Source: the Alexandria database, functional PBE.

```
UNiAsRh
1.0
-1.595 -0.056 -4.261
-2.062 -3.724 -1.609
-4.488 0.029 -0.750
Rh As U Ni
1 1 1 1
Cartesian
-4.073 -1.875 -3.310 Rh
-6.110 -2.812 -4.965 As
0.000 0.000 0.000 U
-2.037 -0.937 -1.655 Ni
```

## Properties
DFT formation energy (eV per atom): -0.242
Space group: F-43m, No. 216

[13]
A relaxed Pm7Nd3Y2 crystal. Source: the Alexandria database, functional PBE.

```
Pm7Nd3Y2
1.0
-3.070 0.621 1.832
2.378 -2.533 4.844
4.837 19.170 1.607
Pm Nd Y
7 3 2
Cartesian
2.425 7.385 5.154 Pm
1.720 9.872 3.130 Pm
1.791 1.609 2.455 Pm
0.000 0.000 0.000 Pm
5.425 15.027 3.997 Pm
2.452 16.016 2.274 Pm
1.693 1.241 6.010 Pm
-0.346 -0.956 3.338 Nd
2.125 6.663 1.302 Nd
5.090 9.973 5.149 Nd
1.283 4.487 4.223 Y
2.862 12.770 4.061 Y
```

## Properties
DFT formation energy (eV per atom): 0.086
Space group: P2/m, No. 10

[14]
A relaxed Mn3HOs crystal. Source: the Alexandria database, functional PBE.

```
Mn3HOs
1.0
4.171 0.000 -0.004
0.006 5.241 0.000
-0.001 -0.003 4.516
H Mn Os
2 6 2
Cartesian
3.193 2.489 3.599 H
3.288 3.764 1.482 H
2.128 1.031 2.901 Mn
0.126 3.745 4.437 Mn
2.129 5.002 0.694 Mn
2.097 3.777 2.948 Mn
0.126 2.395 2.218 Mn
0.129 5.022 2.232 Mn
2.118 2.399 0.710 Os
0.090 0.989 4.457 Os
```

## Properties
Space group: P1, No. 1
E_tot (eV per atom): -8.412

[15]
A relaxed La2Y3Th4 crystal. Source: the Alexandria database, functional PBE.

```
La2Y3Th4
1.0
3.540 0.000 -0.762
-0.761 9.106 -3.534
0.204 -0.621 9.552
La Y Th
2 3 4
Cartesian
2.418 -0.181 2.626 La
0.566 8.667 2.630 La
2.911 2.608 4.919 Y
0.073 5.877 0.337 Y
0.000 0.000 0.000 Y
2.518 5.610 3.092 Th
0.466 2.875 2.165 Th
1.370 5.447 6.363 Th
1.614 3.038 -1.107 Th
```

## Properties
DFT formation energy (eV per atom): 0.059
Space group: C2/m, No. 12

[16]
A relaxed Nd4Pt2N crystal. Source: the Alexandria database, functional PBE.

```
Nd4Pt2N
1.0
-3.089 0.158 -3.776
-3.480 -2.020 2.762
-5.510 5.776 1.594
Nd Pt N
4 2 1
Cartesian
-4.715 3.380 0.844 Nd
-7.363 0.533 -0.263 Nd
-1.740 -1.010 1.381 Nd
-1.544 0.079 -1.888 Nd
-3.862 0.810 0.039 Pt
-8.217 3.104 0.542 Pt
0.000 0.000 0.000 N
```

## Properties
Formation energy (no corrections) (kJ per mole of atoms): -90
Space group: I4/mmm, No. 139

[17]
A relaxed Nd3TePb2 crystal. Source: the Alexandria database, functional PBE.

```
Nd3TePb2
1.0
4.353 -0.133 -1.127
-0.518 5.833 -2.691
-0.267 0.082 7.947
Nd Te Pb
3 1 2
Cartesian
1.917 2.850 -1.909 Nd
0.544 0.968 1.993 Nd
3.024 4.815 2.136 Nd
2.177 -0.067 -0.563 Te
0.286 3.883 0.645 Pb
3.282 1.899 3.484 Pb
```

## Properties
Formation energy (no corrections) (kJ per mole of atoms): -82
Space group: Immm, No. 71

[18]
A relaxed AcNd2Au crystal. Source: the Alexandria database, functional PBE.

```
AcNd2Au
1.0
6.798 0.000 0.000
0.000 7.379 0.000
0.000 0.000 10.670
Ac Nd Au
4 8 4
Cartesian
4.324 3.818 2.667 Ac
5.873 0.128 2.667 Ac
2.474 3.561 8.002 Ac
0.925 7.251 8.002 Ac
1.151 5.070 0.556 Nd
2.248 1.381 4.779 Nd
5.647 2.309 5.891 Nd
4.550 5.998 10.114 Nd
5.647 2.309 10.114 Nd
4.550 5.998 5.891 Nd
1.151 5.070 4.779 Nd
2.248 1.381 0.556 Nd
0.630 2.911 2.667 Au
2.769 6.601 2.667 Au
6.168 4.468 8.002 Au
4.030 0.778 8.002 Au
```

## Properties
DFT formation energy (eV per atom): -0.387
Space group: Pnma, No. 62

[19]
A relaxed TcAu2C crystal. Source: the Alexandria database, functional PBE.

```
TcAu2C
1.0
5.314 0.000 0.000
0.000 5.314 0.000
2.657 2.657 5.681
C Au Tc
2 4 2
Cartesian
2.657 2.657 0.000 C
2.657 5.314 2.841 C
3.367 1.329 1.420 Au
1.947 3.986 1.420 Au
3.986 4.604 4.261 Au
6.643 6.025 4.261 Au
0.000 0.000 0.000 Tc
5.314 2.657 2.841 Tc
```

## Properties
DFT formation energy (eV per atom): 1.656
Space group: I-42d, No. 122

[20]
A relaxed PRuRhCl2 crystal. Source: the Alexandria database, functional PBE.

```
PRuRhCl2
1.0
4.849 0.000 0.000
0.000 4.849 0.000
0.000 0.000 4.451
Ru Rh P Cl
1 1 1 2
Cartesian
0.000 0.000 0.000 Ru
2.424 2.424 2.225 Rh
0.000 0.000 2.225 P
0.000 2.424 0.000 Cl
2.424 0.000 0.000 Cl
```

## Properties
Formation energy (no corrections) (kJ per mole of atoms): 72
Space group: P4/mmm, No. 123